First-principles (PBE-GGA) data for a geometry-optimized KCuIrI6 structure, as listed in Alexandria.

Formation energy from raw total energies (eV per atom): -0.337
V (Å³ per cell): 353.6
Electronic total energy (eV per atom): -2.932

abc: 7.185 7.185 7.911
angles: 90.00 90.00 59.99
Last column: magnetic moment on the atom in μB.
Atoms (fractional coordinates):
K: 0.000 0.000 0.000  0.00
Cu: 0.333 0.333 0.500  0.33
Ir: 0.667 0.667 0.500  0.12
I: 0.988 0.375 0.305  0.07
I: 0.374 0.988 0.694  0.07
I: 0.638 0.374 0.694  0.07
I: 0.988 0.638 0.694  0.07
I: 0.374 0.638 0.306  0.07
I: 0.638 0.988 0.306  0.07